The following is a DFT calculation (PBE) of a relaxed CaIrPb2 crystal.

Cell lengths 5.653, 5.653, 6.181 Å; angles 115.59, 115.59, 39.11 degrees
Positions (direct):
Ca  0.000  0.000  0.000
Ir  0.725  0.725  0.011
Pb  0.167  0.167  0.649
Pb  0.360  0.360  0.377

Computed properties:
- space group = Cm (8)
- volume (Å³/f.u.) = 110.76
- M_tot (Bohr magnetons per cell) = 0.0
- electronic total energy (eV per atom) = -4.681
- calculated formation energy (eV/atom) = -0.111